(1)
UHgPtO6 | PBE-GGA | optimized geometry

As for the uncorrected formation energy: -12.55 eV per formula unit. The density is 7.8 g/cm3. The total moment is 0.0 μB/cell. The calculation puts the total energy at -6.659 eV/atom.

It has space group Imma (No. 74), with a = 7.283 Å, b = 7.830 Å, c = 10.949 Å, α = 90.00°, β = 90.00° and γ = 90.00°. The asymmetric unit holds U at (0.000, 0.000, 0.000), Hg at (0.000, 0.250, 0.472), Pt at (0.250, 0.250, 0.750), O at (0.000, 0.250, 0.069), O at (0.000, 0.250, 0.682) and O at (0.199, 0.072, 0.875).

---

(2)
BeSiP2 | PBE-GGA | optimized geometry

As for the uncorrected formation energy: 1.79 eV per formula unit. The density is 2.9 g/cm3. The total moment is 0.0 μB/cell. The calculation puts the total energy at -4.544 eV/atom.

It has space group Immm (No. 71), with a = 3.311 Å, b = 5.295 Å, c = 6.484 Å, α = 90.00°, β = 90.00° and γ = 90.00°. The asymmetric unit holds Be at (0.000, 0.000, 0.000), Si at (0.000, 0.000, 0.500) and P at (0.000, 0.500, 0.270).

---

(3)
Ba3Sm3YS8 | PBE-GGA | optimized geometry

As for the uncorrected formation energy: -30.96 eV per formula unit. The density is 4.7 g/cm3. The total moment is 0.0 μB/cell. The calculation puts the total energy at -6.025 eV/atom.

It has space group C2/m (No. 12), with a = 14.269 Å, b = 8.243 Å, c = 8.696 Å, α = 90.00°, β = 123.14° and γ = 90.00°. The asymmetric unit holds Ba at (0.000, 0.000, 0.000), Ba at (0.250, 0.250, 0.000), Sm at (0.000, 0.500, 0.500), Sm at (0.250, 0.250, 0.500), Y at (0.000, 0.000, 0.500), S at (0.012, 0.246, 0.290), S at (0.233, 0.000, 0.709) and S at (0.239, 0.500, 0.717).

---

(4)
Sm2DyZn3 | PBE-GGA | optimized geometry

The density is 7.7 g/cm3. The value obtained for the formation energy from the elements is -0.3243 eV/atom. The total moment is 0.0 μB/cell. The calculation puts the total energy at -3.301 eV/atom.

It has space group P-3m1 (No. 164), with a = 5.1139 Å, b = 5.1139 Å, c = 6.2574 Å, α = 90.00°, β = 90.00° and γ = 120.00°. The asymmetric unit holds Sm at (0.3333, 0.6667, 0.1717), Dy at (0.0000, 0.0000, 0.5000), Zn at (0.0000, 0.0000, 0.0000) and Zn at (0.3333, 0.6667, 0.6656).

---

(5)
CdTe2F | PBE-GGA | optimized geometry

As for the uncorrected formation energy: -2.91 eV per formula unit. The density is 5.8 g/cm3. The total moment is 0.0 μB/cell. The calculation puts the total energy at -2.995 eV/atom.

It has space group P1 (No. 1), with a = 4.425 Å, b = 4.668 Å, c = 5.675 Å, α = 97.41°, β = 97.60° and γ = 103.50°. The asymmetric unit holds Cd at (0.000, 0.000, 0.000), Te at (0.419, 0.792, 0.656), Te at (0.578, 0.190, 0.349) and F at (0.084, 0.500, 0.966).

---

(6)
HfBAu | PBE-GGA | optimized geometry

The density is 14.6 g/cm3. The value obtained for the formation energy from the elements is -0.5099 eV/atom. The total moment is 0.0 μB/cell. The calculation puts the total energy at -7.146 eV/atom.

It has space group C2/m (No. 12), with a = 9.142 Å, b = 3.463 Å, c = 6.924 Å, α = 90.00°, β = 126.80° and γ = 90.00°. The asymmetric unit holds Hf at (0.069, 0.000, 0.326), B at (0.114, 0.500, 0.598) and Au at (0.191, 0.500, 0.112).

---

(7)
Y2CrP | PBE-GGA | optimized geometry

The density is 5.0 g/cm3. The value obtained for the formation energy from the elements is -0.5660 eV/atom. The total moment is 0.1 μB/cell. The calculation puts the total energy at -7.556 eV/atom.

It has space group Cm (No. 8), with a = 12.427 Å, b = 3.945 Å, c = 7.493 Å, α = 90.00°, β = 109.23° and γ = 90.00°. The asymmetric unit holds Y at (0.000, 0.000, 0.000), Y at (0.083, 0.000, 0.502), Y at (0.257, 0.500, 0.210), Y at (0.378, 0.000, 0.588), Cr at (0.264, 0.000, 0.906), Cr at (0.273, 0.500, 0.734), P at (0.111, 0.500, 0.831) and P at (0.428, 0.000, 0.228).

---

(8)
KSr2Bi | PBE-GGA | optimized geometry

The density is 3.3 g/cm3. The value obtained for the formation energy from the elements is -0.2715 eV/atom. The total moment is 0.0 μB/cell. The calculation puts the total energy at -2.357 eV/atom.

It has space group I-42d (No. 122), with a = 10.635 Å, b = 10.635 Å, c = 7.643 Å, α = 90.00°, β = 90.00° and γ = 90.00°. The asymmetric unit holds K at (0.000, 0.000, 0.000), Sr at (0.164, 0.250, 0.625) and Bi at (0.000, 0.000, 0.500).

---

(9)
Li2AlTl2 | PBE-GGA | optimized geometry

The density is 7.1 g/cm3. The value obtained for the formation energy from the elements is -0.0168 eV/atom. The total moment is 0.0 μB/cell. The calculation puts the total energy at -2.477 eV/atom.

It has space group P4/mbm (No. 127), with a = 7.673 Å, b = 7.673 Å, c = 3.582 Å, α = 90.00°, β = 90.00° and γ = 90.00°. The asymmetric unit holds Li at (0.135, 0.365, 0.000), Al at (0.000, 0.000, 0.000) and Tl at (0.166, 0.666, 0.500).

---

(10)
Cd2HgAu | PBE-GGA | optimized geometry

The density is 12.3 g/cm3. The value obtained for the formation energy from the elements is -0.0293 eV/atom. The total moment is 0.0 μB/cell. The calculation puts the total energy at -1.382 eV/atom.

It has space group P4/mmm (No. 123), with a = 4.508 Å, b = 4.508 Å, c = 4.145 Å, α = 90.00°, β = 90.00° and γ = 90.00°. The asymmetric unit holds Cd at (0.000, 0.500, 0.000), Hg at (0.000, 0.000, 0.500) and Au at (0.500, 0.500, 0.500).

---

(11)
SmDyGaCo | PBE-GGA | optimized geometry

The density is 8.2 g/cm3. The value obtained for the formation energy from the elements is -0.3502 eV/atom. The total moment is 0.0 μB/cell. The calculation puts the total energy at -5.214 eV/atom.

It has space group Amm2 (No. 38), with a = 4.199 Å, b = 4.054 Å, c = 10.528 Å, α = 90.00°, β = 90.00° and γ = 90.00°. The asymmetric unit holds Sm at (0.000, 0.000, 0.000), Dy at (0.500, 0.000, 0.716), Ga at (0.500, 0.000, 0.418) and Co at (0.000, 0.000, 0.289).

---

(12)
LiFe2Mo | PBE-GGA | optimized geometry

The density is 6.6 g/cm3. The value obtained for the formation energy from the elements is 0.2137 eV/atom. The total moment is 8.8 μB/cell. The calculation puts the total energy at -7.204 eV/atom.

It has space group Cmm2 (No. 35), with a = 3.014 Å, b = 4.147 Å, c = 8.666 Å, α = 90.00°, β = 90.00° and γ = 90.00°. The asymmetric unit holds Li at (0.000, 0.000, 0.000), Fe at (0.000, 0.000, 0.529), Fe at (0.000, 0.500, 0.747) and Mo at (0.000, 0.500, 0.284).

---

(13)
BaCa2NiGe | PBE-GGA | optimized geometry

The density is 4.0 g/cm3. The value obtained for the formation energy from the elements is -0.1783 eV/atom. The total moment is 0.0 μB/cell. The calculation puts the total energy at -3.443 eV/atom.

It has space group P4/mmm (No. 123), with a = 5.498 Å, b = 5.498 Å, c = 4.770 Å, α = 90.00°, β = 90.00° and γ = 90.00°. The asymmetric unit holds Ba at (0.000, 0.000, 0.000), Ca at (0.000, 0.500, 0.500), Ni at (0.500, 0.500, 0.500) and Ge at (0.500, 0.500, 0.000).

---

(14)
LaSmNi2P2 | PBE-GGA | optimized geometry

The density is 7.0 g/cm3. The value obtained for the formation energy from the elements is -1.1849 eV/atom. The total moment is 0.0 μB/cell. The calculation puts the total energy at -6.523 eV/atom.

It has space group P-3m1 (No. 164), with a = 3.9779 Å, b = 3.9779 Å, c = 8.1052 Å, α = 90.00°, β = 90.00° and γ = 120.00°. The asymmetric unit holds La at (0.0000, 0.0000, 0.0000), Sm at (0.0000, 0.0000, 0.5000), Ni at (0.3333, 0.6667, 0.7461) and P at (0.3333, 0.6667, 0.2602).

---

(15)
Ba3CuN | PBE-GGA | optimized geometry

As for the uncorrected formation energy: -0.28 eV per formula unit. The density is 4.7 g/cm3. The total moment is 0.0 μB/cell. The calculation puts the total energy at -3.695 eV/atom.

It has space group Pm-3m (No. 221), with a = 5.580 Å, b = 5.580 Å, c = 5.580 Å, α = 90.00°, β = 90.00° and γ = 90.00°. The asymmetric unit holds Ba at (0.000, 0.000, 0.500), Cu at (0.500, 0.500, 0.500) and N at (0.000, 0.000, 0.000).

---

(16)
YBi2Mo | PBE-GGA | optimized geometry

The density is 9.0 g/cm3. The value obtained for the formation energy from the elements is 0.4757 eV/atom. The total moment is 7.2 μB/cell. The calculation puts the total energy at -5.789 eV/atom.

It has space group I-42d (No. 122), with a = 4.588 Å, b = 4.588 Å, c = 21.074 Å, α = 90.00°, β = 90.00° and γ = 90.00°. The asymmetric unit holds Y at (0.000, 0.000, 0.000), Bi at (0.232, 0.250, 0.625) and Mo at (0.000, 0.000, 0.500).

---

(17)
YMo2Pt | PBE-GGA | optimized geometry

The density is 10.7 g/cm3. The value obtained for the formation energy from the elements is 0.1032 eV/atom. The total moment is 0.0 μB/cell. The calculation puts the total energy at -8.439 eV/atom.

It has space group P2/m (No. 10), with a = 2.929 Å, b = 5.086 Å, c = 5.000 Å, α = 90.00°, β = 96.41° and γ = 90.00°. The asymmetric unit holds Y at (0.000, 0.000, 0.000), Mo at (0.328, 0.500, 0.760) and Pt at (0.500, 0.000, 0.500).

---

(18)
CuMo2Pb | PBE-GGA | optimized geometry

The density is 10.9 g/cm3. The value obtained for the formation energy from the elements is 0.5184 eV/atom. The total moment is 0.0 μB/cell. The calculation puts the total energy at -6.848 eV/atom.

It has space group C2/m (No. 12), with a = 9.481 Å, b = 3.304 Å, c = 4.642 Å, α = 90.00°, β = 104.40° and γ = 90.00°. The asymmetric unit holds Cu at (0.000, 0.000, 0.000), Mo at (0.243, 0.500, 0.199) and Pb at (0.000, 0.500, 0.500).

---

(19)
Ba2LiMn | PBE-GGA | optimized geometry

The density is 3.8 g/cm3. The value obtained for the formation energy from the elements is 0.3672 eV/atom. The total moment is 11.6 μB/cell. The calculation puts the total energy at -3.365 eV/atom.

It has space group Fm-3m (No. 225), with a = 8.401 Å, b = 8.401 Å, c = 8.401 Å, α = 90.00°, β = 90.00° and γ = 90.00°. The asymmetric unit holds Ba at (0.250, 0.250, 0.250), Li at (0.000, 0.000, 0.000) and Mn at (0.000, 0.000, 0.500).

---

(20)
TbNd5Ga4 | PBE-GGA | optimized geometry

The density is 6.6 g/cm3. The value obtained for the formation energy from the elements is -0.2594 eV/atom. The total moment is 0.0 μB/cell. The calculation puts the total energy at -4.317 eV/atom.

It has space group Pmmn (No. 59, origin choice 2), with a = 7.932 Å, b = 8.801 Å, c = 8.367 Å, α = 90.00°, β = 90.00° and γ = 90.00°. The asymmetric unit holds Tb at (0.250, 0.250, 0.080), Nd at (0.003, 0.554, 0.268), Nd at (0.250, 0.750, 0.649), Ga at (0.097, 0.250, 0.436) and Ga at (0.250, 0.597, 0.986).

---

(21)
Cs2TcBrCl6 | PBE-GGA | optimized geometry

As for the uncorrected formation energy: -11.67 eV per formula unit. The density is 3.1 g/cm3. The total moment is 2.1 μB/cell. The calculation puts the total energy at -3.650 eV/atom.

It has space group P1 (No. 1), with a = 7.205 Å, b = 7.228 Å, c = 8.346 Å, α = 70.00°, β = 70.12° and γ = 61.44°. The asymmetric unit holds Cs at (0.000, 0.000, 0.000), Cs at (0.421, 0.422, 0.471), Tc at (0.715, 0.707, 0.735), Br at (0.481, 0.940, 0.235), Cl at (0.006, 0.549, 0.877), Cl at (0.410, 0.865, 0.609), Cl at (0.531, 0.523, 0.981), Cl at (0.555, 0.011, 0.861), Cl at (0.874, 0.415, 0.595) and Cl at (0.898, 0.890, 0.490).

---

(22)
Sc4BeNi | PBE-GGA | optimized geometry

The density is 3.4 g/cm3. The value obtained for the formation energy from the elements is 0.6808 eV/atom. The total moment is 0.0 μB/cell. The calculation puts the total energy at -5.125 eV/atom.

It has space group F-43m (No. 216), with a = 7.825 Å, b = 7.825 Å, c = 7.825 Å, α = 90.00°, β = 90.00° and γ = 90.00°. The asymmetric unit holds Sc at (0.125, 0.125, 0.125), Be at (0.250, 0.250, 0.750) and Ni at (0.000, 0.000, 0.500).